Entry from Alexandria via LeMat-Bulk: a geometry-optimized Li2PrMoN4 structure (PBE-GGA).

It has space group Pmn2_1 (No. 31), with a = 7.896 Å, b = 5.285 Å, c = 5.074 Å, α = 90.00°, β = 90.00° and γ = 90.00°. Symmetry generates all atoms from Li at (0.248, 0.215, 0.000), Pr at (0.000, 0.224, 0.495), Mo at (0.000, 0.694, 0.022), N at (0.000, 0.345, 0.967), N at (0.000, 0.716, 0.387) and N at (0.200, 0.843, 0.891).

=====

Entry from Alexandria via LeMat-Bulk: a geometry-optimized Li2PuMoN4 structure (PBE-GGA).

It has space group P2/m (No. 10), with a = 5.405 Å, b = 3.189 Å, c = 5.540 Å, α = 90.00°, β = 109.26° and γ = 90.00°. Symmetry generates all atoms from Li at (0.000, 0.000, 0.000), Li at (0.000, 0.500, 0.500), Pu at (0.500, 0.000, 0.500), Mo at (0.500, 0.500, 0.000), N at (0.280, 0.500, 0.240) and N at (0.282, 0.000, 0.767).

=====

Number 1: total DFT energy (no corrections) -0.2649 hartree per atom. Number 2: total DFT energy (no corrections) -0.3104 hartree per atom.